Mn5Tl (PBE, optimized geometry); formation enthalpy at 0 K = 0.407 eV per atom; polymorph energy (0 for the lowest one) = 59.8 meV/atom; space group = C2/m (12); final energy = -7.628 eV/atom
1.0
-2.942 -4.248 -1.733
-2.348 -4.823 0.965
-5.242 1.291 1.428
Tl Mn
1 5
direct
0.000 0.000 0.000
0.000 0.000 0.500
0.687 0.687 0.639
0.311 0.311 0.837
0.689 0.689 0.163
0.313 0.313 0.361